{"formula": "Y2Al", "functional": "GGA-PBE", "state": "optimized geometry", "e_form_ev_per_atom": -0.266, "m_tot_mub_per_fu": 0.0, "crystal_system": "cubic", "dos_at_fermi_per_ev_cell": 29.958, "density_g_cm3": 4.156, "lattice": [[-8.451, -4.538, -1.722], [-5.393, -3.246, 7.441], [-8.422, 4.387, 2.193]], "species": ["Al", "Al", "Al", "Al", "Al", "Al", "Al", "Al", "Y", "Y", "Y", "Y", "Y", "Y", "Y", "Y", "Y", "Y", "Y", "Y", "Y", "Y", "Y", "Y"], "fractional_positions": [[0.359, 0.714, 0.214], [0.714, 0.714, 0.859], [0.714, 0.359, 0.214], [0.286, 0.641, 0.786], [0.714, 0.714, 0.214], [0.286, 0.286, 0.786], [0.641, 0.286, 0.786], [0.286, 0.286, 0.141], [0.065, 0.685, 0.565], [0.935, 0.935, 0.815], [0.315, 0.935, 0.815], [0.685, 0.065, 0.565], [0.935, 0.315, 0.815], [0.685, 0.065, 0.185], [0.500, 0.500, 0.000], [0.065, 0.065, 0.185], [0.065, 0.685, 0.185], [0.500, 0.500, 0.500], [0.935, 0.315, 0.435], [0.500, 0.000, 0.000], [0.315, 0.935, 0.435], [0.685, 0.685, 0.565], [0.315, 0.315, 0.435], [0.000, 0.500, 0.000]]}